First-principles (PBE) data for a relaxed Zn2SiAgTe4 crystal, as listed in the Alexandria database.

Calculated values
DFT total energy	-3.0771	eV per atom
symmetry	I-42m
spin magnetization	0.00	μB per formula unit
D(E_F)	0.61	states/eV per atom
formation energy from raw total energies	-0.1535	eV per atom

```
Zn2SiAgTe4
1.0
6.2999 0.0000 0.0000
0.0000 6.2999 0.0000
0.0000 0.0000 12.5050
Zn Si Ag Te
4 2 2 8
Cartesian
0.0000 3.1500 3.1262
0.0000 3.1500 9.3787
3.1500 0.0000 3.1262
3.1500 0.0000 9.3787
0.0000 0.0000 0.0000
3.1500 3.1500 6.2525
0.0000 0.0000 6.2525
3.1500 3.1500 0.0000
1.5388 1.5388 10.8979
1.5388 4.7612 1.6071
1.6112 1.6112 4.6454
1.6112 4.6887 7.8596
4.6887 1.6112 7.8596
4.6887 4.6887 4.6454
4.7612 1.5388 1.6071
4.7612 4.7612 10.8979
```


First-principles (PBE) data for a relaxed ThSi2Ag6 crystal, as listed in the Alexandria database.

Calculated values
DFT total energy	-4.1165	eV per atom
symmetry	P4/mmm
spin magnetization	0.00	μB per formula unit
D(E_F)	0.41	states/eV per atom
formation energy from raw total energies	-0.1861	eV per atom

```
ThSi2Ag6
1.0
4.2038 0.0000 0.0000
0.0000 4.2038 0.0000
0.0000 0.0000 9.5805
Th Si Ag
1 2 6
Cartesian
0.0000 0.0000 0.0000
2.1019 2.1019 1.1623
2.1019 2.1019 8.4182
0.0000 0.0000 4.7903
0.0000 2.1019 2.7070
0.0000 2.1019 6.8735
2.1019 0.0000 2.7070
2.1019 0.0000 6.8735
2.1019 2.1019 4.7903
```


First-principles (PBE) data for a relaxed Th2Si2Ag crystal, as listed in the Alexandria database.

Calculated values
DFT total energy	-6.2696	eV per atom
symmetry	P4/mbm
spin magnetization	0.00	μB per formula unit
D(E_F)	0.31	states/eV per atom
formation energy from raw total energies	-0.5622	eV per atom
relative energy among the computed polymorphs	0.00	eV/f.u.

```
Th2Si2Ag
1.0
7.3325 0.0000 0.0000
0.0000 7.3325 0.0000
0.0000 0.0000 4.3076
Th Si Ag
4 4 2
Cartesian
1.3235 2.3428 0.0000
2.3428 6.0090 0.0000
4.9898 1.3235 0.0000
6.0090 4.9898 0.0000
0.8468 4.5131 2.1538
2.8195 0.8468 2.1538
4.5131 6.4857 2.1538
6.4857 2.8195 2.1538
0.0000 0.0000 2.1538
3.6663 3.6663 2.1538
```


First-principles (PBE) data for a relaxed Th2Si2Ag crystal, as listed in the Alexandria database.

Calculated values
DFT total energy	-6.2495	eV per atom
symmetry	C2/m
spin magnetization	0.00	μB per formula unit
D(E_F)	0.55	states/eV per atom
formation energy from raw total energies	-0.5421	eV per atom
relative energy among the computed polymorphs	0.10	eV/f.u.

```
Th2Si2Ag
1.0
5.5717 -2.1721 0.0000
5.5717 2.1721 0.0000
-4.8140 0.0000 9.4091
Th Si Ag
4 4 2
Cartesian
-1.5282 0.0000 3.0337
1.6284 0.0000 0.9819
4.7010 0.0000 8.4272
7.8577 0.0000 6.3754
2.0851 0.0000 4.0946
4.7986 0.0000 0.9847
1.5308 0.0000 8.4244
4.2443 0.0000 5.3144
-0.0114 0.0000 6.0214
6.3408 0.0000 3.3877
```


First-principles (PBE) data for a relaxed ThSiAg crystal, as listed in the Alexandria database.

Calculated values
DFT total energy	-5.6346	eV per atom
symmetry	Cmcm
spin magnetization	0.00	μB per formula unit
D(E_F)	0.62	states/eV per atom
formation energy from raw total energies	-0.4033	eV per atom

```
ThSiAg
1.0
4.2239 0.0000 0.0000
0.0000 16.3795 0.0000
0.0000 0.0000 3.9003
Th Si Ag
4 4 4
Cartesian
0.0000 1.6147 0.9751
0.0000 14.7648 2.9252
2.1120 6.5750 2.9252
2.1120 9.8044 0.9751
0.0000 7.4852 0.9751
0.0000 8.8943 2.9252
2.1120 0.7045 2.9252
2.1120 15.6749 0.9751
0.0000 4.7352 0.9751
0.0000 11.6443 2.9252
2.1120 3.4545 2.9252
2.1120 12.9249 0.9751
```


First-principles (PBE) data for a relaxed ThSi2Ag crystal, as listed in the Alexandria database.

Calculated values
DFT total energy	-5.7187	eV per atom
symmetry	Pnma
spin magnetization	0.00	μB per formula unit
D(E_F)	0.47	states/eV per atom
formation energy from raw total energies	-0.4395	eV per atom

```
ThSi2Ag
1.0
13.8172 0.0000 0.0000
0.0000 4.2193 0.0000
0.0000 0.0000 10.9996
Th Si Ag
8 16 8
Cartesian
0.7198 1.0548 2.5957
2.6691 3.1645 10.5374
4.2396 1.0548 5.0377
6.1889 3.1645 8.0955
7.6284 1.0548 2.9041
9.5777 3.1645 5.9619
11.1482 1.0548 0.4621
13.0975 3.1645 8.4039
0.3387 1.0548 10.5609
1.5349 1.0548 8.5369
1.8123 3.1645 4.8271
2.9343 3.1645 2.7660
3.9743 1.0548 8.2658
5.0963 1.0548 10.3269
5.3737 3.1645 3.0371
6.5699 3.1645 5.0611
7.2473 1.0548 5.9384
8.4435 1.0548 7.9625
8.7209 3.1645 0.6727
9.8429 3.1645 2.7338
10.8829 1.0548 8.2335
12.0049 1.0548 6.1724
12.2823 3.1645 2.4627
13.4785 3.1645 0.4387
0.8448 1.0548 6.0438
2.7914 3.1645 7.2318
4.1173 1.0548 1.7320
6.0638 3.1645 0.5440
7.7534 1.0548 10.4556
9.7000 3.1645 9.2675
11.0259 1.0548 3.7677
12.9724 3.1645 4.9558
```


Q: Which of these has the lowest formation energy from raw total energies?
A: number 3


Q: The highest D(E_F) belongs to which entry?
A: ThSiAg


What did the first record say?
First-principles (PBE) data for a relaxed Zn2SiAgTe4 crystal, as listed in the Alexandria database.

Calculated values
DFT total energy	-3.0771	eV per atom
symmetry	I-42m
spin magnetization	0.00	μB per formula unit
D(E_F)	0.61	states/eV per atom
formation energy from raw total energies	-0.1535	eV per atom

```
Zn2SiAgTe4
1.0
6.2999 0.0000 0.0000
0.0000 6.2999 0.0000
0.0000 0.0000 12.5050
Zn Si Ag Te
4 2 2 8
Cartesian
0.0000 3.1500 3.1262
0.0000 3.1500 9.3787
3.1500 0.0000 3.1262
3.1500 0.0000 9.3787
0.0000 0.0000 0.0000
3.1500 3.1500 6.2525
0.0000 0.0000 6.2525
3.1500 3.1500 0.0000
1.5388 1.5388 10.8979
1.5388 4.7612 1.6071
1.6112 1.6112 4.6454
1.6112 4.6887 7.8596
4.6887 1.6112 7.8596
4.6887 4.6887 4.6454
4.7612 1.5388 1.6071
4.7612 4.7612 10.8979
```